{"formula": "InCuHg2", "functional": "PBE", "state": "relaxed", "sg": "Imm2", "cell": [[6.8887, 1.2860, 0.0797], [3.8252, 5.8715, -0.0797], [-4.7924, -4.4239, 2.5645]], "species": ["Cu", "In", "Hg", "Hg"], "fractional_positions": [[0.2502, 0.7502, 0.5000], [0.4366, 0.4366, 0.0000], [0.7507, 0.2507, 0.5000], [0.0626, 0.0626, 0.0000]]}


{"formula": "NaLu2Hf", "functional": "PBE", "state": "relaxed", "sg": "P4/mmm", "cell": [[3.3368, 0.0000, 0.0000], [0.0000, 3.3368, 0.0000], [0.0000, 0.0000, 10.3135]], "species": ["Hf", "Lu", "Na", "Lu"], "fractional_positions": [[0.5000, 0.5000, 0.0000], [0.0000, 0.0000, 0.7881], [0.5000, 0.5000, 0.5000], [0.0000, 0.0000, 0.2119]]}


Values of DOS at the Fermi energy, in order: 1.48; 3.14, all in states/eV per cell.
Values of ΔE_f, in order: 0.1038; 0.1401, all in eV/atom.